1.
# PBE TeAsRu2, relaxed
data_TeAsRu2
_cell_length_a 6.508
_cell_length_b 6.508
_cell_length_c 6.508
_cell_angle_alpha 90.00
_cell_angle_beta 90.00
_cell_angle_gamma 90.00
_space_group_name_H-M_alt 'F -4 3 m'
_space_group_IT_number 216
_space_group_name_Hall 'F -4 2 3'
loop_
_atom_site_label
_atom_site_fract_x
_atom_site_fract_y
_atom_site_fract_z
Te1 0.000 0.000 0.000
As1 0.250 0.250 0.750
Ru1 0.000 0.000 0.500
Ru2 0.250 0.250 0.250
# Excess energy over the best structure of this formula in the dataset in eV/f.u.: 3.19
# Formation energy without anion corrections in kJ/mol of formula units: 278



2.
# PBE TeAs3Ru, relaxed
data_TeAs3Ru
_cell_length_a 4.825
_cell_length_b 4.825
_cell_length_c 4.825
_cell_angle_alpha 90.00
_cell_angle_beta 90.00
_cell_angle_gamma 90.00
_space_group_name_H-M_alt 'P m -3 m'
_space_group_IT_number 221
_space_group_name_Hall '-P 4 2 3'
loop_
_atom_site_label
_atom_site_fract_x
_atom_site_fract_y
_atom_site_fract_z
Te1 0.000 0.000 0.000
As1 0.000 0.500 0.500
Ru1 0.500 0.500 0.500
# Excess energy over the best structure of this formula in the dataset in eV/f.u.: 0.00
# Formation energy without anion corrections in kJ/mol of formula units: 192



3.
# PBE TeAsRu, relaxed
data_TeAsRu
_cell_length_a 3.8399
_cell_length_b 3.8399
_cell_length_c 5.6146
_cell_angle_alpha 90.00
_cell_angle_beta 90.00
_cell_angle_gamma 120.00
_space_group_name_H-M_alt 'P 3 m 1'
_space_group_IT_number 156
_space_group_name_Hall 'P 3 -2"'
loop_
_atom_site_label
_atom_site_fract_x
_atom_site_fract_y
_atom_site_fract_z
Te1 0.0000 0.0000 0.0000
As1 0.6667 0.3333 0.5473
Ru1 0.3333 0.6667 0.7066
# Formation energy without anion corrections in kJ/mol of formula units: -1



4.
# PBE TeAsRu2, relaxed
data_TeAsRu2
_cell_length_a 6.381
_cell_length_b 6.393
_cell_length_c 3.241
_cell_angle_alpha 90.00
_cell_angle_beta 90.00
_cell_angle_gamma 90.00
_space_group_name_H-M_alt 'C m m m'
_space_group_IT_number 65
_space_group_name_Hall '-C 2 2'
loop_
_atom_site_label
_atom_site_fract_x
_atom_site_fract_y
_atom_site_fract_z
Te1 0.000 0.000 0.000
As1 0.000 0.500 0.000
Ru1 0.250 0.250 0.500
# Excess energy over the best structure of this formula in the dataset in eV/f.u.: 1.29
# Formation energy without anion corrections in kJ/mol of formula units: 95



5.
# PBE TeAsRu2, relaxed
data_TeAsRu2
_cell_length_a 4.349
_cell_length_b 3.137
_cell_length_c 5.346
_cell_angle_alpha 90.00
_cell_angle_beta 113.23
_cell_angle_gamma 90.00
_space_group_name_H-M_alt 'P 1 2/m 1'
_space_group_IT_number 10
_space_group_name_Hall '-P 2y'
loop_
_atom_site_label
_atom_site_fract_x
_atom_site_fract_y
_atom_site_fract_z
Te1 0.000 0.000 0.000
As1 0.500 0.500 0.500
Ru1 0.000 0.000 0.500
Ru2 0.500 0.500 0.000
# Excess energy over the best structure of this formula in the dataset in eV/f.u.: 1.01
# Formation energy without anion corrections in kJ/mol of formula units: 67



6.
# PBE TeAsRu2, relaxed
data_TeAsRu2
_cell_length_a 3.155
_cell_length_b 3.893
_cell_length_c 5.662
_cell_angle_alpha 90.00
_cell_angle_beta 90.00
_cell_angle_gamma 90.00
_space_group_name_H-M_alt 'P m m 2'
_space_group_IT_number 25
_space_group_name_Hall 'P 2 -2'
loop_
_atom_site_label
_atom_site_fract_x
_atom_site_fract_y
_atom_site_fract_z
Te1 0.000 0.000 0.000
As1 0.500 0.500 0.406
Ru1 0.000 0.000 0.512
Ru2 0.500 0.500 0.831
# Excess energy over the best structure of this formula in the dataset in eV/f.u.: 0.51
# Formation energy without anion corrections in kJ/mol of formula units: 19



7.
# PBE TeAsRu2, relaxed
data_TeAsRu2
_cell_length_a 8.311
_cell_length_b 3.222
_cell_length_c 5.597
_cell_angle_alpha 90.00
_cell_angle_beta 99.65
_cell_angle_gamma 90.00
_space_group_name_H-M_alt 'C 1 m 1'
_space_group_IT_number 8
_space_group_name_Hall 'C -2y'
loop_
_atom_site_label
_atom_site_fract_x
_atom_site_fract_y
_atom_site_fract_z
Te1 0.000 0.000 0.000
As1 0.289 0.500 0.449
Ru1 0.000 0.500 0.404
Ru2 0.261 0.000 0.768
# Excess energy over the best structure of this formula in the dataset in eV/f.u.: 0.42
# Formation energy without anion corrections in kJ/mol of formula units: 10



8.
# PBE TeAsRu2, relaxed
data_TeAsRu2
_cell_length_a 6.410
_cell_length_b 6.410
_cell_length_c 6.410
_cell_angle_alpha 90.00
_cell_angle_beta 90.00
_cell_angle_gamma 90.00
_space_group_name_H-M_alt 'F m -3 m'
_space_group_IT_number 225
_space_group_name_Hall '-F 4 2 3'
loop_
_atom_site_label
_atom_site_fract_x
_atom_site_fract_y
_atom_site_fract_z
Te1 0.000 0.000 0.000
As1 0.000 0.000 0.500
Ru1 0.250 0.250 0.250
# Excess energy over the best structure of this formula in the dataset in eV/f.u.: 1.21
# Formation energy without anion corrections in kJ/mol of formula units: 87



9.
# PBE TeAsRu, relaxed
data_TeAsRu
_cell_length_a 6.429
_cell_length_b 6.360
_cell_length_c 6.484
_cell_angle_alpha 90.00
_cell_angle_beta 113.54
_cell_angle_gamma 90.00
_space_group_name_H-M_alt 'P 1 21/c 1'
_space_group_IT_number 14
_space_group_name_Hall '-P 2ybc'
loop_
_atom_site_label
_atom_site_fract_x
_atom_site_fract_y
_atom_site_fract_z
Te1 0.156 0.125 0.367
As1 0.353 0.645 0.669
Ru1 0.284 0.508 0.295
# Formation energy without anion corrections in kJ/mol of formula units: -121



10.
# PBE TeAs2Ru, relaxed
data_TeAs2Ru
_cell_length_a 3.350
_cell_length_b 3.350
_cell_length_c 7.305
_cell_angle_alpha 90.00
_cell_angle_beta 90.00
_cell_angle_gamma 90.00
_space_group_name_H-M_alt 'P 4 m m'
_space_group_IT_number 99
_space_group_name_Hall 'P 4 -2'
loop_
_atom_site_label
_atom_site_fract_x
_atom_site_fract_y
_atom_site_fract_z
Te1 0.000 0.000 0.000
As1 0.000 0.000 0.587
As2 0.500 0.500 0.416
Ru1 0.500 0.500 0.794
# Formation energy without anion corrections in kJ/mol of formula units: 75



11.
# PBE TeAs2Ru, relaxed
data_TeAs2Ru
_cell_length_a 4.688
_cell_length_b 4.688
_cell_length_c 6.789
_cell_angle_alpha 90.00
_cell_angle_beta 90.00
_cell_angle_gamma 90.00
_space_group_name_H-M_alt 'I -4 m 2'
_space_group_IT_number 119
_space_group_name_Hall 'I -4 -2'
loop_
_atom_site_label
_atom_site_fract_x
_atom_site_fract_y
_atom_site_fract_z
Te1 0.000 0.000 0.000
As1 0.000 0.000 0.500
As2 0.000 0.500 0.750
Ru1 0.000 0.500 0.250
# Formation energy without anion corrections in kJ/mol of formula units: 185



12.
# PBE TeAs2Ru, relaxed
data_TeAs2Ru
_cell_length_a 4.778
_cell_length_b 4.778
_cell_length_c 3.301
_cell_angle_alpha 90.00
_cell_angle_beta 90.00
_cell_angle_gamma 90.00
_space_group_name_H-M_alt 'P 4/m m m'
_space_group_IT_number 123
_space_group_name_Hall '-P 4 2'
loop_
_atom_site_label
_atom_site_fract_x
_atom_site_fract_y
_atom_site_fract_z
Te1 0.000 0.000 0.000
As1 0.000 0.500 0.500
Ru1 0.500 0.500 0.000
# Formation energy without anion corrections in kJ/mol of formula units: 242



- Which formula does entry 10 have?
  TeAs2Ru



- Number 3 is which compound?
  TeAsRu



- Among the records above, which one has the lowest formation energy without anion corrections?
  number 9